#1
Computed, not measured: a geometry-optimized ReOs2 structure at the PBE level of DFT.

Properties
Space group = Fd-3m, No. 227

Cell: 7.577 7.577 7.577 Å, 60.00 60.00 60.00°
Fractional coordinates of all 6 atoms:
Os 0.375 0.875 0.375
Os 0.375 0.375 0.375
Os 0.875 0.375 0.375
Os 0.375 0.375 0.875
Re 0.250 0.250 0.250
Re 0.500 0.500 0.500

#2
Computed, not measured: a geometry-optimized ReOs2 structure at the PBE level of DFT.

Properties
Space group = Fd-3m, No. 227

Cell: 5.063 5.063 5.063 Å, 60.00 60.00 60.00°
Fractional coordinates of all 6 atoms:
Os 0.625 0.625 0.125
Os 0.625 0.125 0.625
Os 0.125 0.625 0.625
Os 0.625 0.625 0.625
Re 0.000 0.000 0.000
Re 0.250 0.250 0.250

#3
Computed, not measured: a geometry-optimized ReOs2 structure at the PBE level of DFT.

Properties
Space group = Fm-3m, No. 225

Cell: 4.175 4.175 4.175 Å, 60.00 60.00 60.00°
Fractional coordinates of all 3 atoms:
Os 0.250 0.250 0.250
Os 0.750 0.750 0.750
Re 0.000 0.000 0.000

Energy relative to the most stable one, in eV/atom: #1 3.530; #2 0.127; #3 0.000

#1
Computed, not measured: a geometry-optimized ReTcOs structure at the PBE level of DFT.

Properties
Space group = F-43m, No. 216

Cell: 4.180 4.180 4.180 Å, 60.00 60.00 60.00°
Fractional coordinates of all 3 atoms:
Os 0.250 0.250 0.250
Re 0.000 0.000 0.000
Tc 0.750 0.750 0.750

#2
Computed, not measured: a geometry-optimized ReTcOs structure at the PBE level of DFT.

Properties
Space group = R-3m, No. 166

Cell: 6.410 6.410 6.410 Å, 39.52 39.52 39.52°
Fractional coordinates of all 6 atoms:
Os 0.132 0.132 0.132
Os 0.868 0.868 0.868
Re 0.285 0.285 0.285
Re 0.715 0.715 0.715
Tc 0.425 0.425 0.425
Tc 0.575 0.575 0.575

Energy relative to the most stable one, in eV/atom: #1 0.000; #2 0.005

#1
Computed, not measured: a geometry-optimized Tm3Sc3Sb2Os structure at the PBE level of DFT.

Properties
Space group = P-62m, No. 189

Cell: 7.931 7.931 4.031 Å, 90.00 90.00 120.00°
Fractional coordinates of all 9 atoms:
Os 0.000 0.000 0.000
Sb 0.667 0.333 0.500
Sb 0.333 0.667 0.500
Sc 0.389 0.000 0.000
Sc 0.000 0.389 0.000
Sc 0.611 0.611 0.000
Tm 0.757 0.000 0.500
Tm 0.243 0.243 0.500
Tm 0.000 0.757 0.500

#2
Computed, not measured: a geometry-optimized Tm3Sc3Sb2Os structure at the PBE level of DFT.

Properties
Space group = P-62m, No. 189

Cell: 7.771 7.771 4.153 Å, 90.00 90.00 120.00°
Fractional coordinates of all 9 atoms:
Os 0.000 0.000 0.000
Sb 0.667 0.333 0.500
Sb 0.333 0.667 0.500
Sc 0.770 0.000 0.500
Sc 0.230 0.230 0.500
Sc 0.000 0.770 0.500
Tm 0.391 0.000 0.000
Tm 0.000 0.391 0.000
Tm 0.609 0.609 0.000

Energy relative to the most stable one, in eV/atom: #1 0.129; #2 0.000

#1
Computed, not measured: a geometry-optimized SbTeOs structure at the PBE level of DFT.

Properties
Space group = P2_1/c, No. 14

Cell: 6.686 6.594 6.758 Å, 90.00 113.80 90.00°
Fractional coordinates of all 12 atoms:
Os 0.224 0.499 0.204
Os 0.776 0.999 0.296
Os 0.224 0.001 0.704
Os 0.776 0.501 0.796
Sb 0.360 0.141 0.114
Sb 0.640 0.641 0.386
Sb 0.360 0.359 0.614
Sb 0.640 0.859 0.886
Te 0.847 0.365 0.183
Te 0.153 0.865 0.317
Te 0.847 0.135 0.683
Te 0.153 0.635 0.817

#2
Computed, not measured: a geometry-optimized SbTeOs structure at the PBE level of DFT.

Properties
Space group = F-43m, No. 216

Cell: 4.577 4.577 4.577 Å, 60.00 60.00 60.00°
Fractional coordinates of all 3 atoms:
Os 0.000 0.000 0.000
Sb 0.250 0.250 0.250
Te 0.750 0.750 0.750

#3
Computed, not measured: a geometry-optimized SbTeOs structure at the PBE level of DFT.

Properties
Space group = Pmn2_1, No. 31

Cell: 3.754 6.581 5.606 Å, 90.00 90.00 90.00°
Fractional coordinates of all 6 atoms:
Os 0.000 0.247 0.496
Os 0.500 0.753 0.996
Sb 0.500 0.396 0.207
Sb 0.000 0.604 0.707
Te 0.000 0.883 0.297
Te 0.500 0.117 0.797

Energy relative to the most stable one, in eV/atom: #1 0.000; #2 0.271; #3 0.101

#1
Computed, not measured: a geometry-optimized Y3Tm3Sb2Os structure at the PBE level of DFT.

Properties
Space group = P-62m, No. 189

Cell: 8.127 8.127 4.211 Å, 90.00 90.00 120.00°
Fractional coordinates of all 9 atoms:
Os 0.000 0.000 0.000
Sb 0.667 0.333 0.500
Sb 0.333 0.667 0.500
Tm 0.234 0.000 0.500
Tm 0.000 0.234 0.500
Tm 0.766 0.766 0.500
Y 0.605 0.000 0.000
Y 0.395 0.395 0.000
Y 0.000 0.605 0.000

#2
Computed, not measured: a geometry-optimized Y3Tm3Sb2Os structure at the PBE level of DFT.

Properties
Space group = P-62m, No. 189

Cell: 8.160 8.160 4.190 Å, 90.00 90.00 120.00°
Fractional coordinates of all 9 atoms:
Os 0.000 0.000 0.000
Sb 0.667 0.333 0.500
Sb 0.333 0.667 0.500
Tm 0.609 0.000 0.000
Tm 0.391 0.391 0.000
Tm 0.000 0.609 0.000
Y 0.241 0.000 0.500
Y 0.000 0.241 0.500
Y 0.759 0.759 0.500

Energy relative to the most stable one, in eV/atom: #1 0.000; #2 0.083

#1
Computed, not measured: a geometry-optimized Y3Zr3Sb2Os structure at the PBE level of DFT.

Properties
Space group = P-62m, No. 189

Cell: 7.978 7.978 4.036 Å, 90.00 90.00 120.00°
Fractional coordinates of all 9 atoms:
Os 0.000 0.000 0.000
Sb 0.667 0.333 0.500
Sb 0.333 0.667 0.500
Y 0.599 0.000 0.000
Y 0.401 0.401 0.000
Y 0.000 0.599 0.000
Zr 0.234 0.000 0.500
Zr 0.000 0.234 0.500
Zr 0.766 0.766 0.500

#2
Computed, not measured: a geometry-optimized Y3Zr3Sb2Os structure at the PBE level of DFT.

Properties
Space group = P-62m, No. 189

Cell: 8.068 8.068 3.848 Å, 90.00 90.00 120.00°
Fractional coordinates of all 9 atoms:
Os 0.000 0.000 0.000
Sb 0.667 0.333 0.500
Sb 0.333 0.667 0.500
Y 0.249 0.000 0.500
Y 0.000 0.249 0.500
Y 0.751 0.751 0.500
Zr 0.603 0.000 0.000
Zr 0.397 0.397 0.000
Zr 0.000 0.603 0.000

Energy relative to the most stable one, in eV/atom: #1 0.000; #2 0.213